! K3Nb2Cl9 (PBE, optimized geometry); values from VASP
&SYSTEM
  ibrav = 0, nat = 28, ntyp = 3
/
ATOMIC_SPECIES
K 39.10 K.upf
Nb 92.91 Nb.upf
Cl 35.45 Cl.upf
CELL_PARAMETERS angstrom
6.2598 3.6141 5.8380
-6.2598 3.6141 5.8380
0.0000 -7.2282 5.8380
ATOMIC_POSITIONS crystal
K 0.0997 0.7500 0.4003
K 0.2500 0.5997 0.9003
K 0.4003 0.0997 0.7500
K 0.5997 0.9003 0.2500
K 0.7500 0.4003 0.0997
K 0.9003 0.2500 0.5997
Nb 0.1741 0.1741 0.1741
Nb 0.3259 0.3259 0.3259
Nb 0.6741 0.6741 0.6741
Nb 0.8259 0.8259 0.8259
Cl 0.0680 0.8976 0.7347
Cl 0.0756 0.4245 0.2500
Cl 0.1024 0.2653 0.9320
Cl 0.2347 0.3976 0.5680
Cl 0.2500 0.0756 0.4244
Cl 0.2653 0.9320 0.1024
Cl 0.3976 0.5680 0.2347
Cl 0.4244 0.2500 0.0756
Cl 0.4320 0.7653 0.6024
Cl 0.5680 0.2347 0.3976
Cl 0.5756 0.7500 0.9244
Cl 0.6024 0.4320 0.7653
Cl 0.7347 0.0680 0.8976
Cl 0.7500 0.9244 0.5756
Cl 0.7653 0.6024 0.4320
Cl 0.8976 0.7347 0.0680
Cl 0.9244 0.5756 0.7500
Cl 0.9320 0.1024 0.2653
! **ρ**: 2.6 g/cm3
! **Total DFT energy (no corrections)**: -4.41 eV/atom
! **Size of the total moment**: 4.0 μB/cell